1.
Here is a relaxed CuAu2S6 crystal from Alexandria via LeMat-Bulk. Energies are from PBE.

Computed properties:
Calculated density, g cm⁻³: 4.81
Final energy, eV/atom: -3.869

a = 6.447 Å, b = 6.299 Å, c = 8.257 Å
α = 119.63°, β = 63.89°, γ = 79.41°
Atoms (fractional coordinates):
Cu 0.000 0.000 0.000
Au 0.506 0.353 0.639
Au 0.494 0.647 0.361
S 0.815 0.099 0.651
S 0.821 0.630 0.055
S 0.813 0.377 0.358
S 0.179 0.370 0.945
S 0.185 0.901 0.349
S 0.187 0.623 0.642

=====

2.
Here is a relaxed CuAuS6 crystal from Alexandria via LeMat-Bulk. Energies are from PBE.

Computed properties:
Calculated density, g cm⁻³: 3.14
Final energy, eV/atom: -3.953

a = 6.536 Å, b = 7.820 Å, c = 9.540 Å
α = 128.77°, β = 133.59°, γ = 81.15°
Atoms (fractional coordinates):
Cu 0.000 0.000 0.000
Au 0.500 0.500 0.500
S 0.475 0.132 0.386
S 0.282 0.975 0.713
S 0.826 0.732 0.377
S 0.718 0.025 0.287
S 0.525 0.868 0.614
S 0.174 0.268 0.623

=====

Uncorrected formation energy, record by record: 0.07; 0.06 eV/atom
Spin magnetization, record by record: 0.00; 0.00 μB per cell